(1)
A relaxed structure of Ho2ErTm10. Source: the Alexandria database, functional PBE.

```
13
Lattice="0.000 7.647 8.436 3.214 0.000 8.436 3.214 7.647 0.000" Properties=species:S:1:pos:R:3 pbc="T T T"
Ho 1.607 3.823 0.000
Ho 1.607 3.823 8.436
Er 0.000 0.000 0.000
Tm 1.607 0.000 4.218
Tm 3.214 2.767 5.575
Tm 3.214 6.064 6.712
Tm 3.214 2.767 11.298
Tm 3.214 6.064 10.161
Tm 1.607 7.647 4.218
Tm 3.214 9.229 6.712
Tm 3.214 12.526 5.575
Tm 3.214 9.229 10.161
Tm 3.214 12.526 11.298
```

## Properties
Its uncorrected energy is -4.196 eV per atom. The calculation puts the energy of formation from the pure elements at 0.30 eV per atom.

(2)
A relaxed structure of HoErTm14. Source: the Alexandria database, functional PBE.

```
16
Lattice="10.885 0.000 0.000 0.000 4.034 5.501 0.000 -4.034 5.501" Properties=species:S:1:pos:R:3 pbc="T T T"
Ho 0.000 0.000 0.000
Er 0.000 0.000 4.927
Tm 0.000 -1.645 7.925
Tm 0.000 1.645 7.925
Tm 2.517 0.000 2.300
Tm 2.726 -2.349 4.728
Tm 2.726 2.349 4.728
Tm 2.937 0.000 7.156
Tm 5.443 -2.386 7.043
Tm 5.443 0.000 4.531
Tm 5.443 0.000 9.470
Tm 5.443 2.386 7.043
Tm 7.948 0.000 7.156
Tm 8.159 -2.349 4.728
Tm 8.159 2.349 4.728
Tm 8.368 0.000 2.300
```

## Properties
Its uncorrected energy is -4.423 eV per atom. The calculation puts the energy of formation from the pure elements at 0.06 eV per atom.